{
  "formula": "Y2GaH",
  "functional": "GGA-PBE",
  "state": "relaxed",
  "energy_ev_per_cell": -41.6,
  "magmom_total_mub_per_cell": 0.5,
  "mass_density_g_cm3": 4.8,
  "sg": "Cm, No. 8",
  "de_polymorph_mev_per_atom": 44.2,
  "cell": [[6.216, 0.000, 0.000], [0.000, 3.599, 0.000], [-2.070, 0.000, 7.653]],
  "species": ["Y", "Y", "Y", "Y", "Ga", "Ga", "H", "H"],
  "fractional_positions": [[0.000, 0.000, 0.000], [0.205, 0.000, 0.613], [0.500, 0.500, 0.000], [0.705, 0.500, 0.613], [0.438, 0.000, 0.308], [0.938, 0.500, 0.308], [0.300, 0.000, 0.898], [0.800, 0.500, 0.898]]
}

{
  "formula": "YGaH2",
  "functional": "GGA-PBE",
  "state": "relaxed",
  "energy_ev_per_cell": -66.9,
  "magmom_total_mub_per_cell": 0.0,
  "mass_density_g_cm3": 5.4,
  "sg": "Fm-3m, No. 225",
  "de_polymorph_mev_per_atom": 7.2,
  "cell": [[5.819, 0.000, 0.000], [0.000, 5.819, 0.000], [0.000, 0.000, 5.819]],
  "species": ["Y", "Y", "Y", "Y", "Ga", "Ga", "Ga", "Ga", "H", "H", "H", "H", "H", "H", "H", "H"],
  "fractional_positions": [[0.000, 0.000, 0.000], [0.000, 0.500, 0.500], [0.500, 0.000, 0.500], [0.500, 0.500, 0.000], [0.000, 0.000, 0.500], [0.000, 0.500, 0.000], [0.500, 0.000, 0.000], [0.500, 0.500, 0.500], [0.250, 0.250, 0.250], [0.250, 0.250, 0.750], [0.250, 0.750, 0.250], [0.250, 0.750, 0.750], [0.750, 0.250, 0.250], [0.750, 0.250, 0.750], [0.750, 0.750, 0.250], [0.750, 0.750, 0.750]]
}

{
  "formula": "Y2Ga2H",
  "functional": "GGA-PBE",
  "state": "relaxed",
  "energy_ev_per_cell": -48.5,
  "magmom_total_mub_per_cell": 0.0,
  "mass_density_g_cm3": 5.0,
  "sg": "P4/mbm, No. 127",
  "cell": [[6.655, 0.000, 0.000], [0.000, 6.655, 0.000], [0.000, 0.000, 4.806]],
  "species": ["Y", "Y", "Y", "Y", "Ga", "Ga", "Ga", "Ga", "H", "H"],
  "fractional_positions": [[0.171, 0.329, 0.000], [0.329, 0.829, 0.000], [0.671, 0.171, 0.000], [0.829, 0.671, 0.000], [0.139, 0.639, 0.500], [0.361, 0.139, 0.500], [0.639, 0.861, 0.500], [0.861, 0.361, 0.500], [0.000, 0.000, 0.000], [0.500, 0.500, 0.000]]
}

{
  "formula": "YGaH2",
  "functional": "GGA-PBE",
  "state": "relaxed",
  "energy_ev_per_cell": -67.0,
  "magmom_total_mub_per_cell": 0.0,
  "mass_density_g_cm3": 4.7,
  "sg": "I-42d, No. 122",
  "de_polymorph_mev_per_atom": 0.0,
  "cell": [[4.497, 0.000, 0.000], [0.000, 4.497, 0.000], [0.000, 0.000, 11.119]],
  "species": ["Y", "Y", "Y", "Y", "Ga", "Ga", "Ga", "Ga", "H", "H", "H", "H", "H", "H", "H", "H"],
  "fractional_positions": [[0.000, 0.000, 0.000], [0.000, 0.500, 0.250], [0.500, 0.000, 0.750], [0.500, 0.500, 0.500], [0.000, 0.000, 0.500], [0.000, 0.500, 0.750], [0.500, 0.000, 0.250], [0.500, 0.500, 0.000], [0.249, 0.250, 0.625], [0.250, 0.749, 0.875], [0.250, 0.751, 0.375], [0.251, 0.250, 0.125], [0.749, 0.750, 0.125], [0.750, 0.249, 0.375], [0.750, 0.251, 0.875], [0.751, 0.750, 0.625]]
}

{
  "formula": "Y2GaH",
  "functional": "GGA-PBE",
  "state": "relaxed",
  "energy_ev_per_cell": -62.5,
  "magmom_total_mub_per_cell": 0.0,
  "mass_density_g_cm3": 5.1,
  "sg": "R-3m, No. 166",
  "de_polymorph_mev_per_atom": 31.9,
  "cell": [[3.635, 0.000, 0.000], [-1.818, 3.148, 0.000], [0.000, 0.000, 21.342]],
  "species": ["Y", "Y", "Y", "Y", "Y", "Y", "Ga", "Ga", "Ga", "H", "H", "H"],
  "fractional_positions": [[0.000, 0.000, 0.233], [0.000, 0.000, 0.767], [0.333, 0.667, 0.434], [0.333, 0.667, 0.899], [0.667, 0.333, 0.101], [0.667, 0.333, 0.566], [0.000, 0.000, 0.000], [0.333, 0.667, 0.667], [0.667, 0.333, 0.333], [0.000, 0.000, 0.500], [0.333, 0.667, 0.167], [0.667, 0.333, 0.833]]
}

{
  "formula": "Y2GaH",
  "functional": "GGA-PBE",
  "state": "relaxed",
  "energy_ev_per_cell": -80.6,
  "magmom_total_mub_per_cell": 0.0,
  "mass_density_g_cm3": 4.9,
  "sg": "Fm-3m, No. 225",
  "de_polymorph_mev_per_atom": 205.7,
  "cell": [[6.935, 0.000, 0.000], [0.000, 6.935, 0.000], [0.000, 0.000, 6.935]],
  "species": ["Y", "Y", "Y", "Y", "Y", "Y", "Y", "Y", "Ga", "Ga", "Ga", "Ga", "H", "H", "H", "H"],
  "fractional_positions": [[0.250, 0.250, 0.250], [0.250, 0.250, 0.750], [0.250, 0.750, 0.250], [0.250, 0.750, 0.750], [0.750, 0.250, 0.250], [0.750, 0.250, 0.750], [0.750, 0.750, 0.250], [0.750, 0.750, 0.750], [0.000, 0.000, 0.000], [0.000, 0.500, 0.500], [0.500, 0.000, 0.500], [0.500, 0.500, 0.000], [0.000, 0.000, 0.500], [0.000, 0.500, 0.000], [0.500, 0.000, 0.000], [0.500, 0.500, 0.500]]
}

{
  "formula": "Y4Ga2H",
  "functional": "GGA-PBE",
  "state": "relaxed",
  "energy_ev_per_cell": -77.0,
  "magmom_total_mub_per_cell": 0.0,
  "mass_density_g_cm3": 5.1,
  "sg": "I4/mmm, No. 139",
  "cell": [[4.481, 0.000, 0.000], [0.000, 4.481, 0.000], [0.000, 0.000, 16.157]],
  "species": ["Y", "Y", "Y", "Y", "Y", "Y", "Y", "Y", "Ga", "Ga", "Ga", "Ga", "H", "H"],
  "fractional_positions": [[0.000, 0.000, 0.181], [0.000, 0.000, 0.819], [0.000, 0.500, 0.000], [0.000, 0.500, 0.500], [0.500, 0.000, 0.000], [0.500, 0.000, 0.500], [0.500, 0.500, 0.319], [0.500, 0.500, 0.681], [0.000, 0.000, 0.367], [0.000, 0.000, 0.633], [0.500, 0.500, 0.133], [0.500, 0.500, 0.867], [0.000, 0.000, 0.000], [0.500, 0.500, 0.500]]
}

{
  "formula": "Y2GaH",
  "functional": "GGA-PBE",
  "state": "relaxed",
  "energy_ev_per_cell": -83.9,
  "magmom_total_mub_per_cell": 0.0,
  "mass_density_g_cm3": 5.0,
  "sg": "I-42d, No. 122",
  "de_polymorph_mev_per_atom": 0.0,
  "cell": [[6.767, 0.000, 0.000], [0.000, 6.767, 0.000], [0.000, 0.000, 7.213]],
  "species": ["Y", "Y", "Y", "Y", "Y", "Y", "Y", "Y", "Ga", "Ga", "Ga", "Ga", "H", "H", "H", "H"],
  "fractional_positions": [[0.169, 0.250, 0.125], [0.250, 0.669, 0.375], [0.250, 0.831, 0.875], [0.331, 0.250, 0.625], [0.669, 0.750, 0.625], [0.750, 0.169, 0.875], [0.750, 0.331, 0.375], [0.831, 0.750, 0.125], [0.000, 0.000, 0.500], [0.000, 0.500, 0.750], [0.500, 0.000, 0.250], [0.500, 0.500, 0.000], [0.000, 0.000, 0.000], [0.000, 0.500, 0.250], [0.500, 0.000, 0.750], [0.500, 0.500, 0.500]]
}

{
  "formula": "YZn2GaH",
  "functional": "GGA-PBE",
  "state": "relaxed",
  "energy_ev_per_cell": -16.7,
  "magmom_total_mub_per_cell": 0.0,
  "mass_density_g_cm3": 6.2,
  "sg": "P4/mmm, No. 123",
  "cell": [[4.268, 0.000, 0.000], [0.000, 4.268, 0.000], [0.000, 0.000, 4.302]],
  "species": ["Y", "Zn", "Zn", "Ga", "H"],
  "fractional_positions": [[0.000, 0.000, 0.000], [0.000, 0.500, 0.500], [0.500, 0.000, 0.500], [0.500, 0.500, 0.000], [0.000, 0.000, 0.500]]
}

{
  "formula": "Zn3GaH",
  "functional": "GGA-PBE",
  "state": "relaxed",
  "energy_ev_per_cell": -6.9,
  "magmom_total_mub_per_cell": 0.0,
  "mass_density_g_cm3": 4.1,
  "sg": "Pm-3m, No. 221",
  "de_polymorph_mev_per_atom": 385.5,
  "cell": [[4.782, 0.000, 0.000], [0.000, 4.782, 0.000], [0.000, 0.000, 4.782]],
  "species": ["Zn", "Zn", "Zn", "Ga", "H"],
  "fractional_positions": [[0.000, 0.000, 0.500], [0.000, 0.500, 0.000], [0.500, 0.000, 0.000], [0.000, 0.000, 0.000], [0.500, 0.500, 0.500]]
}

{
  "formula": "ZnGa2H2",
  "functional": "GGA-PBE",
  "state": "relaxed",
  "energy_ev_per_cell": -23.9,
  "magmom_total_mub_per_cell": 0.0,
  "mass_density_g_cm3": 5.6,
  "sg": "P4/mbm, No. 127",
  "de_polymorph_mev_per_atom": 106.0,
  "cell": [[6.807, 0.000, 0.000], [0.000, 6.807, 0.000], [0.000, 0.000, 2.656]],
  "species": ["Zn", "Zn", "Ga", "Ga", "Ga", "Ga", "H", "H", "H", "H"],
  "fractional_positions": [[0.000, 0.000, 0.000], [0.500, 0.500, 0.000], [0.141, 0.359, 0.500], [0.359, 0.859, 0.500], [0.641, 0.141, 0.500], [0.859, 0.641, 0.500], [0.111, 0.611, 0.000], [0.389, 0.111, 0.000], [0.611, 0.889, 0.000], [0.889, 0.389, 0.000]]
}

{
  "formula": "ZnGa3H",
  "functional": "GGA-PBE",
  "state": "relaxed",
  "energy_ev_per_cell": -12.5,
  "magmom_total_mub_per_cell": 0.0,
  "mass_density_g_cm3": 6.0,
  "sg": "Pm-3m, No. 221",
  "de_polymorph_mev_per_atom": 0.0,
  "cell": [[4.249, 0.000, 0.000], [0.000, 4.249, 0.000], [0.000, 0.000, 4.249]],
  "species": ["Zn", "Ga", "Ga", "Ga", "H"],
  "fractional_positions": [[0.000, 0.000, 0.000], [0.000, 0.500, 0.500], [0.500, 0.000, 0.500], [0.500, 0.500, 0.000], [0.500, 0.500, 0.500]]
}